Here is a geometry-optimized K2SrCa structure from the Alexandria database. Energies are from PBE.

The calculation puts the formation energy at 0.17 eV per atom.

The space group is I-4m2 (No. 119) and the conventional cell measures 6.880, 6.880 and 9.814 Å, with angles of 90.00, 90.00 and 90.00 degrees. Symmetry generates all atoms from K at (0.000, 0.000, 0.000), K at (0.000, 0.500, 0.250), Sr at (0.000, 0.500, 0.750) and Ca at (0.000, 0.000, 0.500).